{"formula": "Pr3ErRh", "functional": "PBE-GGA", "state": "optimized geometry", "e_tot_ev_per_cell": -26.63, "formation_energy_ev_per_atom": -0.0751, "magmom_total_mub_per_cell": 0.03, "dos_ef_per_ev_fu": 9.62, "lattice_angstrom": [[5.5978, 0.0000, 0.0000], [0.0000, 5.5978, 0.0000], [0.0000, 0.0000, 5.5978]], "species": ["Er", "Pr", "Pr", "Pr", "Rh"], "fractional_positions": [[0.5000, 0.5000, 0.5000], [0.0000, 0.5000, 0.0000], [0.5000, 0.0000, 0.0000], [0.0000, 0.0000, 0.5000], [0.0000, 0.0000, 0.0000]]}